Record 1
# Al3ZnCr, optimized geometry, DFT GGA-PBE
data_Al3ZnCr
_chemical_formula_sum 'Al12 Zn4 Cr4'
_cell_length_a 5.288
_cell_length_b 8.301
_cell_length_c 8.301
_cell_angle_alpha 65.68
_cell_angle_beta 89.86
_cell_angle_gamma 89.86
_symmetry_space_group_name_H-M 'P 1'
_symmetry_Int_Tables_number 1
loop_
_symmetry_equiv_pos_as_xyz
'x,y,z'
loop_
_atom_site_label
_atom_site_type_symbol
_atom_site_fract_x
_atom_site_fract_y
_atom_site_fract_z
_atom_site_occupancy
Al1 Al 0.748 0.860 0.946 1
Al2 Al 0.752 0.054 0.140 1
Al3 Al 0.252 0.140 0.054 1
Al4 Al 0.248 0.946 0.860 1
Al5 Al 0.750 0.495 0.005 1
Al6 Al 0.750 0.995 0.505 1
Al7 Al 0.250 0.505 0.995 1
Al8 Al 0.250 0.005 0.495 1
Al9 Al 0.752 0.554 0.640 1
Al10 Al 0.748 0.360 0.446 1
Al11 Al 0.248 0.446 0.360 1
Al12 Al 0.252 0.640 0.554 1
Zn1 Zn 0.250 0.799 0.201 1
Zn2 Zn 0.750 0.201 0.799 1
Zn3 Zn 0.250 0.299 0.701 1
Zn4 Zn 0.750 0.701 0.299 1
Cr1 Cr 0.000 0.750 0.750 1
Cr2 Cr 0.500 0.250 0.250 1
Cr3 Cr 0.000 0.250 0.250 1
Cr4 Cr 0.500 0.750 0.750 1
# E_form = 7.16 kJ per mole of atoms
# Total moment = 0.090 μB/atom
# Energy = -0.15989 Ha/atom



Record 2
# BaTiPt3, optimized geometry, DFT GGA-PBE
data_BaTiPt3
_chemical_formula_sum 'Ba1 Ti1 Pt3'
_cell_length_a 4.913
_cell_length_b 4.913
_cell_length_c 4.913
_cell_angle_alpha 90.00
_cell_angle_beta 90.00
_cell_angle_gamma 90.00
_symmetry_space_group_name_H-M 'P 1'
_symmetry_Int_Tables_number 1
loop_
_symmetry_equiv_pos_as_xyz
'x,y,z'
loop_
_atom_site_label
_atom_site_type_symbol
_atom_site_fract_x
_atom_site_fract_y
_atom_site_fract_z
_atom_site_occupancy
Ba1 Ba 0.500 0.500 0.500 1
Pt1 Pt 0.000 0.500 0.000 1
Pt2 Pt 0.000 0.000 0.500 1
Pt3 Pt 0.500 0.000 0.000 1
Ti1 Ti 0.000 0.000 0.000 1
# E_form = -33.34 kJ per mole of atoms
# Total moment = 0.000 μB/atom
# Energy = -0.21805 Ha/atom



Record 3
# Tb2Sc3S6, optimized geometry, DFT GGA-PBE
data_Tb2Sc3S6
_chemical_formula_sum 'Tb2 Sc3 S6'
_cell_length_a 6.528
_cell_length_b 6.506
_cell_length_c 6.614
_cell_angle_alpha 80.52
_cell_angle_beta 70.84
_cell_angle_gamma 59.89
_symmetry_space_group_name_H-M 'P 1'
_symmetry_Int_Tables_number 1
loop_
_symmetry_equiv_pos_as_xyz
'x,y,z'
loop_
_atom_site_label
_atom_site_type_symbol
_atom_site_fract_x
_atom_site_fract_y
_atom_site_fract_z
_atom_site_occupancy
Tb1 Tb 0.166 0.668 0.500 1
Tb2 Tb 0.834 0.332 0.500 1
Sc1 Sc 0.000 0.000 0.000 1
Sc2 Sc 0.336 0.327 0.000 1
Sc3 Sc 0.664 0.673 0.000 1
S1 S 0.411 0.669 0.766 1
S2 S 0.741 0.000 0.762 1
S3 S 0.081 0.331 0.766 1
S4 S 0.259 0.000 0.238 1
S5 S 0.589 0.331 0.234 1
S6 S 0.919 0.669 0.234 1
# Total moment = 0.000 μB/atom
# Energy = -0.25064 Ha/atom



Record 4
# PmHgAs, optimized geometry, DFT GGA-PBE
data_PmHgAs
_chemical_formula_sum 'Pm1 Hg1 As1'
_cell_length_a 4.904
_cell_length_b 4.366
_cell_length_c 4.366
_cell_angle_alpha 120.00
_cell_angle_beta 90.00
_cell_angle_gamma 90.00
_symmetry_space_group_name_H-M 'P 1'
_symmetry_Int_Tables_number 1
loop_
_symmetry_equiv_pos_as_xyz
'x,y,z'
loop_
_atom_site_label
_atom_site_type_symbol
_atom_site_fract_x
_atom_site_fract_y
_atom_site_fract_z
_atom_site_occupancy
As1 As 0.996 0.000 0.000 1
Hg1 Hg 0.704 0.667 0.333 1
Pm1 Pm 0.300 0.333 0.667 1
# E_form = -69.55 kJ per mole of atoms
# Total moment = 0.000 μB/atom
# Energy = -0.14534 Ha/atom



Record 5
# Te2Au2Se, optimized geometry, DFT GGA-PBE
data_Te2Au2Se
_chemical_formula_sum 'Te4 Au4 Se2'
_cell_length_a 7.690
_cell_length_b 7.690
_cell_length_c 3.959
_cell_angle_alpha 90.00
_cell_angle_beta 90.00
_cell_angle_gamma 90.00
_symmetry_space_group_name_H-M 'P 1'
_symmetry_Int_Tables_number 1
loop_
_symmetry_equiv_pos_as_xyz
'x,y,z'
loop_
_atom_site_label
_atom_site_type_symbol
_atom_site_fract_x
_atom_site_fract_y
_atom_site_fract_z
_atom_site_occupancy
Te1 Te 0.151 0.651 0.500 1
Te2 Te 0.651 0.849 0.500 1
Te3 Te 0.849 0.349 0.500 1
Te4 Te 0.349 0.151 0.500 1
Au1 Au 0.349 0.849 0.000 1
Au2 Au 0.849 0.651 0.000 1
Au3 Au 0.651 0.151 0.000 1
Au4 Au 0.151 0.349 0.000 1
Se1 Se 0.000 0.000 0.000 1
Se2 Se 0.500 0.500 0.000 1
# Total moment = 0.000 μB/atom
# Energy = -0.10845 Ha/atom



Record 6
# Cs2ZrBr6F, optimized geometry, DFT GGA-PBE
data_Cs2ZrBr6F
_chemical_formula_sum 'Cs2 Zr1 Br6 F1'
_cell_length_a 7.744
_cell_length_b 7.744
_cell_length_c 8.103
_cell_angle_alpha 61.46
_cell_angle_beta 61.46
_cell_angle_gamma 90.00
_symmetry_space_group_name_H-M 'P 1'
_symmetry_Int_Tables_number 1
loop_
_symmetry_equiv_pos_as_xyz
'x,y,z'
loop_
_atom_site_label
_atom_site_type_symbol
_atom_site_fract_x
_atom_site_fract_y
_atom_site_fract_z
_atom_site_occupancy
Cs1 Cs 0.750 0.250 0.500 1
Cs2 Cs 0.250 0.750 0.500 1
Br1 Br 0.222 0.222 0.556 1
Br2 Br 0.778 0.778 0.444 1
Br3 Br 0.242 0.242 0.000 1
Br4 Br 0.758 0.758 0.000 1
Br5 Br 0.758 0.242 0.000 1
Br6 Br 0.242 0.758 0.000 1
Zr1 Zr 0.000 0.000 0.000 1
F1 F 0.500 0.500 0.000 1
# Total moment = 0.100 μB/atom
# Energy = -0.13484 Ha/atom



Record 7
# BeAgOF2, optimized geometry, DFT GGA-PBE
data_BeAgOF2
_chemical_formula_sum 'Be1 Ag1 O1 F2'
_cell_length_a 4.180
_cell_length_b 4.180
_cell_length_c 4.192
_cell_angle_alpha 90.00
_cell_angle_beta 90.00
_cell_angle_gamma 90.00
_symmetry_space_group_name_H-M 'P 1'
_symmetry_Int_Tables_number 1
loop_
_symmetry_equiv_pos_as_xyz
'x,y,z'
loop_
_atom_site_label
_atom_site_type_symbol
_atom_site_fract_x
_atom_site_fract_y
_atom_site_fract_z
_atom_site_occupancy
Be1 Be 0.500 0.500 0.500 1
O1 O 0.000 0.000 0.500 1
Ag1 Ag 0.000 0.000 0.000 1
F1 F 0.000 0.500 0.000 1
F2 F 0.500 0.000 0.000 1
# Total moment = 0.000 μB/atom
# Energy = -0.11598 Ha/atom



Record 8
# ScPaCdIn, optimized geometry, DFT GGA-PBE
data_ScPaCdIn
_chemical_formula_sum 'Sc1 Pa1 Cd1 In1'
_cell_length_a 5.186
_cell_length_b 5.186
_cell_length_c 5.186
_cell_angle_alpha 60.00
_cell_angle_beta 60.00
_cell_angle_gamma 60.00
_symmetry_space_group_name_H-M 'P 1'
_symmetry_Int_Tables_number 1
loop_
_symmetry_equiv_pos_as_xyz
'x,y,z'
loop_
_atom_site_label
_atom_site_type_symbol
_atom_site_fract_x
_atom_site_fract_y
_atom_site_fract_z
_atom_site_occupancy
Sc1 Sc 0.500 0.500 0.500 1
Cd1 Cd 0.250 0.250 0.250 1
Pa1 Pa 0.000 0.000 0.000 1
In1 In 0.750 0.750 0.750 1
# E_form = 0.95 kJ per mole of atoms
# Total moment = 0.274 μB/atom
# Energy = -0.17862 Ha/atom



Record 9
# BeAlTcBi2, optimized geometry, DFT GGA-PBE
data_BeAlTcBi2
_chemical_formula_sum 'Be1 Al1 Tc1 Bi2'
_cell_length_a 5.330
_cell_length_b 4.589
_cell_length_c 5.330
_cell_angle_alpha 90.00
_cell_angle_beta 90.00
_cell_angle_gamma 90.00
_symmetry_space_group_name_H-M 'P 1'
_symmetry_Int_Tables_number 1
loop_
_symmetry_equiv_pos_as_xyz
'x,y,z'
loop_
_atom_site_label
_atom_site_type_symbol
_atom_site_fract_x
_atom_site_fract_y
_atom_site_fract_z
_atom_site_occupancy
Be1 Be 0.500 0.500 0.500 1
Al1 Al 0.000 0.000 0.000 1
Bi1 Bi 0.000 0.000 0.500 1
Bi2 Bi 0.500 0.000 0.000 1
Tc1 Tc 0.000 0.500 0.000 1
# E_form = 136.05 kJ per mole of atoms
# Total moment = 0.000 μB/atom
# Energy = -0.13631 Ha/atom



Record 10
# NaNbO3, optimized geometry, DFT GGA-PBE
data_NaNbO3
_chemical_formula_sum 'Na4 Nb4 O12'
_cell_length_a 5.384
_cell_length_b 6.822
_cell_length_c 7.224
_cell_angle_alpha 95.00
_cell_angle_beta 90.00
_cell_angle_gamma 90.00
_symmetry_space_group_name_H-M 'P 1'
_symmetry_Int_Tables_number 1
loop_
_symmetry_equiv_pos_as_xyz
'x,y,z'
loop_
_atom_site_label
_atom_site_type_symbol
_atom_site_fract_x
_atom_site_fract_y
_atom_site_fract_z
_atom_site_occupancy
Na1 Na 0.747 0.608 0.175 1
Na2 Na 0.253 0.392 0.825 1
Na3 Na 0.247 0.392 0.325 1
Na4 Na 0.753 0.608 0.675 1
Nb1 Nb 0.268 0.882 0.575 1
Nb2 Nb 0.732 0.118 0.425 1
Nb3 Nb 0.768 0.118 0.925 1
Nb4 Nb 0.232 0.882 0.075 1
O1 O 0.078 0.943 0.335 1
O2 O 0.922 0.057 0.665 1
O3 O 0.578 0.057 0.165 1
O4 O 0.422 0.943 0.835 1
O5 O 0.570 0.815 0.455 1
O6 O 0.430 0.185 0.545 1
O7 O 0.070 0.185 0.045 1
O8 O 0.930 0.815 0.955 1
O9 O 0.172 0.632 0.611 1
O10 O 0.828 0.368 0.389 1
O11 O 0.672 0.368 0.889 1
O12 O 0.328 0.632 0.111 1
# Total moment = 0.000 μB/atom
# Energy = -0.28018 Ha/atom



- What is the formula in the eighth record?
  ScPaCdIn